This record from the Alexandria database describes an optimized crystal structure of Cr2RuW. The functional is PBE.

a = 2.994 Å, b = 4.381 Å, c = 8.286 Å
α = 90.00°, β = 90.00°, γ = 90.00°
Space group Cmm2 (No. 35)
Asymmetric unit:
Cr (0.000, 0.000, 0.000) x2
Cr (0.000, 0.500, 0.222) x2
Ru (0.000, 0.500, 0.752) x2
W (0.000, 0.000, 0.480) x2

The value obtained for the theoretical density is 11.883 Mg/m³. The energy above the most stable polymorph in this dataset comes out at 114 meV per atom. The calculation puts the formation energy at 200 meV per atom.